Record 1
VASP calculation (PBE) on an optimized crystal structure of LaTb4Te5.

Results
* energy relative to the elements, uncorrected: -1.36 eV per atom
* energy above the lowest structure with this stoichiometry: 11 meV per atom
* total DFT energy (no corrections): -5.27 eV per atom
* volume: 30.489 Å³/atom

The structure in POSCAR format:
```
LaTb4Te5
1.0
-2.201 2.201 15.729
2.201 -2.201 15.729
2.201 2.201 -15.729
La Tb Te
1 4 5
Cartesian
0.000 0.000 0.000
0.000 0.000 6.504
0.000 0.000 12.708
0.000 0.000 18.751
0.000 0.000 24.955
0.000 0.000 3.305
0.000 0.000 9.571
0.000 0.000 15.729
0.000 0.000 21.888
0.000 0.000 28.154
```

=====

Record 2
VASP calculation (PBE) on an optimized crystal structure of Pr3GaPt4.

Results
* total DFT energy (no corrections): -6.15 eV per atom
* volume: 24.777 Å³/atom
* formation energy from the elements: -959 meV per atom

The structure in POSCAR format:
```
Pr3GaPt4
1.0
-2.102 3.280 7.188
2.102 -3.280 7.188
2.102 3.280 -7.188
Pr Ga Pt
3 1 4
Cartesian
0.000 0.000 0.000
2.102 0.000 4.449
0.000 3.280 2.739
0.000 0.000 7.188
2.102 1.375 -1.680
2.102 1.375 1.680
0.000 1.904 5.508
0.000 1.904 8.868
```

=====

Record 3
VASP calculation (PBE) on an optimized crystal structure of ScGa5Ru6.

Results
* total DFT energy (no corrections): -6.82 eV per atom
* volume: 14.344 Å³/atom
* formation energy from the elements: -390 meV per atom

The structure in POSCAR format:
```
ScGa5Ru6
1.0
4.336 0.000 0.000
0.000 6.115 0.000
-2.161 0.000 6.492
Sc Ga Ru
1 5 6
Cartesian
0.000 0.000 0.000
0.000 3.057 0.000
0.002 3.057 4.344
0.003 0.000 4.424
2.172 0.000 2.068
2.173 3.057 2.148
0.004 1.547 2.257
0.004 4.568 2.257
2.168 1.631 0.000
2.168 4.484 0.000
2.171 1.547 4.234
2.171 4.568 4.234
```

=====

Record 4
VASP calculation (PBE) on an optimized crystal structure of KSi2C.

Results
* energy relative to the elements, uncorrected: 0.88 eV per atom
* total DFT energy (no corrections): -4.41 eV per atom
* volume: 21.283 Å³/atom

The structure in POSCAR format:
```
KSi2C
1.0
-3.144 3.144 4.307
3.144 -3.144 4.307
3.144 3.144 -4.307
K Si C
2 4 2
Cartesian
0.000 0.000 0.000
0.000 3.144 2.153
1.572 -0.607 3.230
2.537 1.572 1.077
1.572 3.751 -1.077
0.607 1.572 5.384
3.144 0.000 2.153
0.000 0.000 4.307
```

=====

Record 5
VASP calculation (PBE) on an optimized crystal structure of CsCaNb.

Results
* energy above the lowest structure with this stoichiometry: 334 meV per atom
* total DFT energy (no corrections): -3.57 eV per atom
* volume: 60.990 Å³/atom
* formation energy from the elements: 733 meV per atom

The structure in POSCAR format:
```
CsCaNb
1.0
4.960 -2.864 0.000
4.960 2.864 0.000
-3.293 0.000 12.879
Cs Ca Nb
2 2 2
Cartesian
0.000 0.000 0.000
0.006 0.000 8.149
0.014 0.000 4.076
6.627 0.000 4.060
3.321 0.000 2.973
3.320 0.000 5.162
```

=====

Record 6
VASP calculation (PBE) on an optimized crystal structure of Pr2Er7Sc2.

Results
* energy above the lowest structure with this stoichiometry: 17 meV per atom
* total DFT energy (no corrections): -4.74 eV per atom
* volume: 31.651 Å³/atom
* formation energy from the elements: 180 meV per atom

The structure in POSCAR format:
```
Pr2Er7Sc2
1.0
-1.766 8.560 5.757
1.766 -8.560 5.757
1.766 8.560 -5.757
Pr Er Sc
2 7 2
Cartesian
0.000 3.569 0.000
0.000 13.551 0.000
1.766 -2.842 2.923
0.000 0.000 1.049
1.766 6.689 0.146
1.766 2.842 2.923
0.000 5.764 2.879
0.000 1.871 5.904
0.000 11.356 2.879
1.766 0.000 3.885
0.000 0.000 9.004
```

=====

Record 7
VASP calculation (PBE) on an optimized crystal structure of RbCd3Rh.

Results
* energy above the lowest structure with this stoichiometry: 271 meV per atom
* total DFT energy (no corrections): -2.05 eV per atom
* volume: 29.896 Å³/atom
* formation energy from the elements: 163 meV per atom

The structure in POSCAR format:
```
RbCd3Rh
1.0
2.686 -9.917 0.000
2.686 9.917 0.000
0.000 0.000 5.612
Rb Cd Rh
2 6 2
Cartesian
2.686 5.960 4.209
2.686 -5.960 1.403
0.000 0.000 0.000
0.000 0.000 2.806
1.378 2.196 4.209
1.378 -2.196 1.403
3.993 2.196 4.209
3.993 -2.196 1.403
2.686 0.313 1.403
2.686 -0.313 4.209
```

=====

Record 8
VASP calculation (PBE) on an optimized crystal structure of TbNd2UP4.

Results
* total DFT energy (no corrections): -7.30 eV per atom
* volume: 23.759 Å³/atom
* formation energy from the elements: -1413 meV per atom

The structure in POSCAR format:
```
TbNd2UP4
1.0
7.033 0.000 0.000
0.000 4.054 0.000
-2.319 0.000 6.667
Tb Nd U P
1 2 1 4
Cartesian
0.000 0.000 0.000
-1.159 2.027 3.333
2.357 0.000 3.333
3.517 2.027 0.000
1.231 2.027 1.570
0.053 0.000 5.107
4.662 0.000 1.560
3.483 2.027 5.097
```

=====

Record 9
VASP calculation (PBE) on an optimized crystal structure of ScCuTe3Pb.

Results
* energy relative to the elements, uncorrected: -0.64 eV per atom
* total DFT energy (no corrections): -4.56 eV per atom
* volume: 28.758 Å³/atom

The structure in POSCAR format:
```
ScCuTe3Pb
1.0
8.841 0.000 0.000
0.000 4.214 0.000
-2.565 0.000 9.263
Sc Cu Te Pb
2 2 6 2
Cartesian
1.150 1.053 1.546
5.126 3.160 7.717
2.687 3.160 3.903
3.590 1.053 5.360
-1.639 1.053 7.839
1.079 1.053 4.436
3.180 3.160 1.252
3.096 1.053 8.011
5.198 3.160 4.827
7.916 3.160 1.424
0.766 3.160 6.971
5.510 1.053 2.292
```

=====

Record 10
VASP calculation (PBE) on an optimized crystal structure of TiBe3O.

Results
* energy relative to the elements, uncorrected: -0.11 eV per atom
* energy above the lowest structure with this stoichiometry: 0 meV per atom
* total DFT energy (no corrections): -4.91 eV per atom
* volume: 10.135 Å³/atom

The structure in POSCAR format:
```
TiBe3O
1.0
3.701 0.000 0.000
0.000 3.701 0.000
0.000 0.000 3.701
Ti Be O
1 3 1
Cartesian
0.000 0.000 0.000
0.000 1.850 1.850
1.850 0.000 1.850
1.850 1.850 0.000
1.850 1.850 1.850
```

=====

Record 11
VASP calculation (PBE) on an optimized crystal structure of GaBrO2F.

Results
* energy relative to the elements, uncorrected: -0.63 eV per atom
* total DFT energy (no corrections): -3.93 eV per atom
* volume: 12.225 Å³/atom

The structure in POSCAR format:
```
GaBrO2F
1.0
3.998 0.000 0.000
0.000 3.998 0.000
0.000 0.000 3.825
Ga Br O F
1 1 2 1
Cartesian
0.000 0.000 0.000
1.999 1.999 1.912
0.000 1.999 0.000
1.999 0.000 0.000
0.000 0.000 1.912
```

=====

Record 12
VASP calculation (PBE) on an optimized crystal structure of YZr2TaMn.

Results
* energy above the lowest structure with this stoichiometry: 1177 meV per atom
* total DFT energy (no corrections): -7.41 eV per atom
* volume: 27.801 Å³/atom
* formation energy from the elements: 1507 meV per atom

The structure in POSCAR format:
```
YZr2TaMn
1.0
5.080 0.000 0.000
0.000 5.080 0.000
0.000 0.000 5.386
Y Zr Ta Mn
1 2 1 1
Cartesian
0.000 0.000 0.000
0.000 2.540 2.693
2.540 0.000 2.693
0.000 0.000 2.693
2.540 2.540 0.000
```

=====

Record 13
VASP calculation (PBE) on an optimized crystal structure of Sc2SnHPd.

Results
* total DFT energy (no corrections): -5.70 eV per atom
* volume: 16.356 Å³/atom

The structure in POSCAR format:
```
Sc2SnHPd
1.0
4.509 0.000 0.000
0.000 4.509 0.000
0.000 0.000 4.022
Sc Sn H Pd
2 1 1 1
Cartesian
0.000 2.254 0.000
2.254 0.000 0.000
0.000 0.000 2.011
2.254 2.254 0.000
2.254 2.254 2.011
```